Entry from Alexandria: crystalline Li6MnFe5B6O18 at its relaxed geometry (PBE with a Hubbard U).

* V: 10.23 Å³ per atom
* energy above the lowest structure with this stoichiometry: 0.0 kJ per mole of atoms
* total DFT energy (no corrections): -6.9780 eV per atom

Cell lengths 8.790, 8.790, 8.208 Å; angles 117.69, 117.69, 42.03 degrees
Fractional coordinates of all 36 atoms:
1 Li 0.116 0.620 0.314
2 Li 0.245 0.755 0.000
3 Li 0.402 0.912 0.577
4 Li 0.620 0.116 0.314
5 Li 0.755 0.245 0.000
6 Li 0.912 0.402 0.577
7 Mn 0.515 0.515 0.675
8 Fe 0.012 0.012 0.665
9 Fe 0.194 0.194 0.284
10 Fe 0.325 0.325 0.938
11 Fe 0.688 0.688 0.291
12 Fe 0.816 0.816 0.928
13 B 0.008 0.008 0.294
14 B 0.090 0.593 0.631
15 B 0.425 0.927 0.966
16 B 0.507 0.507 0.297
17 B 0.593 0.090 0.631
18 B 0.927 0.425 0.966
19 O 0.023 0.523 0.045
20 O 0.036 0.540 0.436
21 O 0.048 0.546 0.738
22 O 0.106 0.106 0.403
23 O 0.186 0.692 0.719
24 O 0.368 0.870 0.771
25 O 0.385 0.886 0.080
26 O 0.452 0.452 0.380
27 O 0.466 0.466 0.102
28 O 0.523 0.023 0.045
29 O 0.540 0.036 0.436
30 O 0.546 0.048 0.738
31 O 0.605 0.605 0.408
32 O 0.692 0.186 0.719
33 O 0.870 0.368 0.771
34 O 0.886 0.385 0.080
35 O 0.955 0.955 0.384
36 O 0.963 0.963 0.100